# 1
Material: Na2AgTeF
Method: DFT, PBE
State: optimized geometry

Unit cell a=4.4659 b=4.4659 c=5.2139 alpha=90.00 beta=90.00 gamma=90.00
With the nearest neighbours (Å) after each atom.
Sites, in units of the cell vectors:
1 Na 0.0000 0.5000 0.0000  2 F 2.23
2 Na 0.5000 0.0000 0.0000  2 F 2.23
3 Te 0.5000 0.5000 0.5000  4 Ag 3.16, 8 Na 3.43
4 Ag 0.0000 0.0000 0.5000  2 F 2.61
5 F 0.0000 0.0000 0.0000  4 Na 2.23

Results
Magnetization: 0.00 μB/cell
SG: No. 123
Formation energy without anion corrections: -6.126 eV/f.u.
Excess energy over the best structure of this formula in the dataset: 0 kJ/mol of formula units
DFT total energy: -16.63 eV/cell


# 2
Material: LuNbNi2
Method: DFT, PBE
State: optimized geometry

Unit cell a=3.1884 b=3.1884 c=6.4939 alpha=90.00 beta=90.00 gamma=90.00
With the nearest neighbours (Å) after each atom.
Sites, in units of the cell vectors:
1 Ni 0.0000 0.0000 0.7920  4 Nb 2.63, 1 Ni 2.70
2 Ni 0.0000 0.0000 0.2080  4 Nb 2.63, 1 Ni 2.70
3 Nb 0.5000 0.5000 0.0000  8 Ni 2.63
4 Lu 0.5000 0.5000 0.5000  8 Ni 2.95, 4 Lu 3.19, 2 Nb 3.25

Results
Magnetization: 0.00 μB/cell
SG: No. 123
ΔE_f: -0.2356 eV per atom
Excess energy over the best structure of this formula in the dataset: 2 kJ/mol of formula units
DFT total energy: -27.10 eV/cell


# 3
Material: CsPuAgI5
Method: DFT, PBE
State: optimized geometry

Unit cell a=8.7034 b=8.7034 c=11.7584 alpha=103.18 beta=103.18 gamma=106.54
With the nearest neighbours (Å) after each atom.
Sites, in units of the cell vectors:
1 Cs 0.3493 0.6507 0.2500  7 I 3.88-4.29
2 Cs 0.6507 0.3493 0.7500  7 I 3.88-4.29
3 Pu 0.0000 0.0000 0.5000  6 I 3.10-3.11
4 Pu 0.0000 0.0000 0.0000  6 I 3.10-3.11
5 Ag 0.6914 0.3086 0.2500  4 I 2.85-2.90
6 Ag 0.3086 0.6914 0.7500  4 I 2.85-2.90
7 I 0.0702 0.9298 0.2500  2 Pu 3.10
8 I 0.9298 0.0702 0.7500  2 Pu 3.10
9 I 0.9008 0.3099 0.0960  1 Ag 2.85, 1 Pu 3.11
10 I 0.0992 0.6901 0.9040  1 Ag 2.85, 1 Pu 3.11
11 I 0.6901 0.0992 0.4040  1 Ag 2.85, 1 Pu 3.11
12 I 0.3099 0.9008 0.5960  1 Ag 2.85, 1 Pu 3.11
13 I 0.7678 0.6276 0.4356  1 Ag 2.90, 1 Pu 3.10
14 I 0.2322 0.3724 0.5644  1 Ag 2.90, 1 Pu 3.10
15 I 0.3724 0.2322 0.0644  1 Ag 2.90, 1 Pu 3.10
16 I 0.6276 0.7678 0.9356  1 Ag 2.90, 1 Pu 3.10

Results
Magnetization: 10.00 μB/cell
SG: No. 15
Formation energy without anion corrections: -7.845 eV/f.u.
DFT total energy: -67.26 eV/cell


# 4
Material: BeGeTeO6
Method: DFT, PBE
State: optimized geometry

Unit cell a=4.7970 b=4.7970 c=8.5231 alpha=90.00 beta=90.00 gamma=120.00
With the nearest neighbours (Å) after each atom.
Sites, in units of the cell vectors:
1 Be 0.6667 0.3333 0.2500  6 O 1.86
2 Be 0.3333 0.6667 0.7500  6 O 1.86
3 Ge 0.0000 0.0000 0.0000  6 O 1.96
4 Ge 0.0000 0.0000 0.5000  6 O 1.96
5 Te 0.3333 0.6667 0.2500  6 O 1.94
6 Te 0.6667 0.3333 0.7500  6 O 1.94
7 O 0.6689 0.6543 0.1277  1 Be 1.86, 1 Te 1.94, 1 Ge 1.96
8 O 0.9855 0.3311 0.1277  1 Be 1.86, 1 Te 1.94, 1 Ge 1.96
9 O 0.3311 0.9855 0.6277  1 Be 1.86, 1 Te 1.94, 1 Ge 1.96
10 O 0.0145 0.6689 0.8723  1 Be 1.86, 1 Te 1.94, 1 Ge 1.96
11 O 0.3457 0.3311 0.3723  1 Be 1.86, 1 Te 1.94, 1 Ge 1.96
12 O 0.9855 0.6543 0.3723  1 Be 1.86, 1 Te 1.94, 1 Ge 1.96
13 O 0.6543 0.9855 0.8723  1 Be 1.86, 1 Te 1.94, 1 Ge 1.96
14 O 0.6689 0.0145 0.3723  1 Be 1.86, 1 Te 1.94, 1 Ge 1.96
15 O 0.0145 0.3457 0.6277  1 Be 1.86, 1 Te 1.94, 1 Ge 1.96
16 O 0.3457 0.0145 0.1277  1 Be 1.86, 1 Te 1.94, 1 Ge 1.96
17 O 0.6543 0.6689 0.6277  1 Be 1.86, 1 Te 1.94, 1 Ge 1.96
18 O 0.3311 0.3457 0.8723  1 Be 1.86, 1 Te 1.94, 1 Ge 1.96

Results
Magnetization: 0.00 μB/cell
SG: No. 163
Formation energy without anion corrections: -12.167 eV/f.u.
DFT total energy: -106.80 eV/cell


# 5
Material: TbSnS4
Method: DFT, PBE
State: optimized geometry

Unit cell a=6.9161 b=6.8237 c=6.0167 alpha=90.00 beta=97.10 gamma=90.00
With the nearest neighbours (Å) after each atom.
Sites, in units of the cell vectors:
1 Tb 0.0000 0.0000 0.0000  6 S 2.70-2.99
2 Tb 0.5000 0.5000 0.0000  6 S 2.70-2.99
3 Sn 0.5000 0.0000 0.5000  6 S 2.47-2.76
4 Sn 0.0000 0.5000 0.5000  6 S 2.47-2.76
5 S 0.8439 0.6776 0.1671  1 Sn 2.47, 2 Tb 2.70-2.75
6 S 0.6561 0.1776 0.8329  1 Sn 2.47, 2 Tb 2.70-2.75
7 S 0.2582 0.2879 0.3007  2 Sn 2.69-2.76, 1 S 2.83, 1 Tb 2.99
8 S 0.2418 0.7879 0.6993  2 Sn 2.69-2.76, 1 S 2.83, 1 Tb 2.99
9 S 0.1561 0.3224 0.8329  1 Sn 2.47, 2 Tb 2.70-2.75
10 S 0.3439 0.8224 0.1671  1 Sn 2.47, 2 Tb 2.70-2.75
11 S 0.7418 0.7121 0.6993  2 Sn 2.69-2.76, 1 S 2.83, 1 Tb 2.99
12 S 0.7582 0.2121 0.3007  2 Sn 2.69-2.76, 1 S 2.83, 1 Tb 2.99

Results
Magnetization: 0.00 μB/cell
SG: No. 14
Formation energy without anion corrections: -4.695 eV/f.u.
DFT total energy: -59.68 eV/cell


# 6
Material: Hf2ThMoC4
Method: DFT, PBE
State: optimized geometry

Unit cell a=3.3732 b=6.1294 c=11.5962 alpha=90.00 beta=90.00 gamma=105.97
With the nearest neighbours (Å) after each atom.
Sites, in units of the cell vectors:
1 Hf 0.3706 0.7411 0.5388  5 C 2.20-2.46
2 Hf 0.6294 0.2589 0.0388  5 C 2.20-2.46
3 Hf 0.6294 0.2589 0.4612  5 C 2.20-2.46
4 Hf 0.3706 0.7411 0.9612  5 C 2.20-2.46
5 Th 0.1039 0.2077 0.7500  6 C 2.56-2.79
6 Th 0.8961 0.7923 0.2500  6 C 2.56-2.79
7 Mo 0.8400 0.6801 0.7500  4 C 1.96-2.06
8 Mo 0.1600 0.3199 0.2500  4 C 1.96-2.06
9 C 0.2615 0.5230 0.1157  1 Mo 1.96
10 C 0.7385 0.4770 0.6157  1 Mo 1.96
11 C 0.7385 0.4770 0.8843  1 Mo 1.96
12 C 0.2615 0.5230 0.3843  1 Mo 1.96
13 C 0.0000 0.0000 0.5000  4 Hf 2.32
14 C 0.0000 0.0000 0.0000  4 Hf 2.32
15 C 0.4404 0.8807 0.7500  2 Mo 2.06
16 C 0.5596 0.1193 0.2500  2 Mo 2.06

Results
Magnetization: 0.00 μB/cell
SG: No. 63
ΔE_f: -0.3865 eV per atom
DFT total energy: -156.29 eV/cell


# 7
Material: DyErZnAu
Method: DFT, PBE
State: optimized geometry

Unit cell a=5.0505 b=5.0505 c=5.0505 alpha=60.00 beta=60.00 gamma=60.00
With the nearest neighbours (Å) after each atom.
Sites, in units of the cell vectors:
1 Zn 0.0000 0.0000 0.0000  4 Er 3.09, 4 Dy 3.09
2 Dy 0.7500 0.7500 0.7500  4 Zn 3.09, 4 Au 3.09
3 Au 0.5000 0.5000 0.5000  4 Dy 3.09, 4 Er 3.09
4 Er 0.2500 0.2500 0.2500  4 Zn 3.09, 4 Au 3.09

Results
Magnetization: 0.00 μB/cell
SG: No. 216
ΔE_f: -0.6035 eV per atom
DFT total energy: -16.13 eV/cell


# 8
Material: InAs2RuO
Method: DFT, PBE
State: optimized geometry

Unit cell a=4.6134 b=5.1965 c=4.6134 alpha=90.00 beta=90.00 gamma=90.00
With the nearest neighbours (Å) after each atom.
Sites, in units of the cell vectors:
1 Ru 0.0000 0.0000 0.0000  4 As 2.31
2 As 0.0000 0.0000 0.5000  2 Ru 2.31
3 As 0.5000 0.0000 0.0000  2 Ru 2.31
4 O 0.5000 0.5000 0.5000  4 In 3.26, 8 As 3.47
5 In 0.0000 0.5000 0.0000  2 Ru 2.60

Results
Magnetization: 0.00 μB/cell
SG: No. 123
Formation energy without anion corrections: 2.158 eV/f.u.
DFT total energy: -24.11 eV/cell